Density functional theory data (PBE) for Ca2ScPd2 after structural relaxation.

Lattice parameters (Å, degrees): 8.3793 8.3793 3.1961 90.00 90.00 90.00
Sites, in units of the cell vectors:
Pd: 0.8326 0.3326 0.5000
Ca: 0.8644 0.6356 0.0000
Pd: 0.6674 0.8326 0.5000
Ca: 0.6356 0.1356 0.0000
Pd: 0.3326 0.1674 0.5000
Ca: 0.3644 0.8644 0.0000
Sc: 0.0000 0.0000 0.0000
Pd: 0.1674 0.6674 0.5000
Ca: 0.1356 0.3644 0.0000
Sc: 0.5000 0.5000 0.0000

Properties
- energy relative to the elements (eV/atom) = -0.33
- offset from the most stable computed form (meV/atom) = 271.5



Density functional theory data (PBE) for CaSc2Pd2 after structural relaxation.

Lattice parameters (Å, degrees): 5.9529 6.8056 7.4290 66.11 66.29 64.15
Sites, in units of the cell vectors:
Pd: 0.4008 0.8234 0.0342
Ca: 0.8626 0.7504 0.2513
Sc: 0.1901 0.1189 0.2886
Sc: 0.4014 0.6168 0.7904
Sc: 0.8099 0.8811 0.7114
Pd: 0.5992 0.1766 0.9658
Ca: 0.1374 0.2496 0.7487
Pd: 0.7402 0.3223 0.5344
Sc: 0.5986 0.3832 0.2096
Pd: 0.2598 0.6777 0.4656

Properties
- energy relative to the elements (eV/atom) = -0.55
- offset from the most stable computed form (meV/atom) = 88.8



Density functional theory data (PBE) for CaSc2Pd9 after structural relaxation.

Lattice parameters (Å, degrees): 4.0540 4.0540 12.1163 90.00 90.00 90.00
Sites, in units of the cell vectors:
Sc: 0.0000 0.0000 0.3361
Pd: 0.5000 0.0000 0.8230
Pd: 0.5000 0.0000 0.1770
Pd: 0.0000 0.5000 0.1770
Sc: 0.0000 0.0000 0.6639
Pd: 0.5000 0.0000 0.5000
Pd: 0.0000 0.5000 0.5000
Ca: 0.0000 0.0000 0.0000
Pd: 0.5000 0.5000 0.6620
Pd: 0.0000 0.5000 0.8230
Pd: 0.5000 0.5000 0.3380
Pd: 0.5000 0.5000 0.0000

Properties
- energy relative to the elements (eV/atom) = -0.73



Density functional theory data (PBE) for Ca2ScPd2 after structural relaxation.

Lattice parameters (Å, degrees): 7.2638 7.2638 4.4594 90.00 90.00 90.00
Sites, in units of the cell vectors:
Pd: 0.1361 0.3639 0.0000
Ca: 0.8320 0.3320 0.5000
Ca: 0.3320 0.1680 0.5000
Ca: 0.1680 0.6680 0.5000
Sc: 0.0000 0.0000 0.0000
Pd: 0.6361 0.1361 0.0000
Sc: 0.5000 0.5000 0.0000
Pd: 0.8639 0.6361 0.0000
Ca: 0.6680 0.8320 0.5000
Pd: 0.3639 0.8639 0.0000

Properties
- energy relative to the elements (eV/atom) = -0.60
- offset from the most stable computed form (meV/atom) = 0.0